(1)
# BeReO2F SCAN single point on PBEsol structure
# formation energy (no corrections) = -0.97 eV/atom
# DOS(E_F) = 0.266 states/eV/atom
# space group = No. 123
data_BeReO2F
_chemical_formula_sum 'Be1 Re1 O2 F1'
_cell_length_a 2.967
_cell_length_b 3.785
_cell_length_c 3.785
_cell_angle_alpha 90.00
_cell_angle_beta 90.00
_cell_angle_gamma 90.00
_symmetry_space_group_name_H-M 'P 1'
_symmetry_Int_Tables_number 1
loop_
_symmetry_equiv_pos_as_xyz
'x,y,z'
loop_
_atom_site_label
_atom_site_fract_x
_atom_site_fract_y
_atom_site_fract_z
_atom_site_occupancy
O1 0.000 0.000 0.500 1
O2 0.000 0.500 0.000 1
Re1 0.500 0.500 0.500 1
Be1 0.000 0.000 0.000 1
F1 0.500 0.000 0.000 1

(2)
# SrBeO2F SCAN single point on PBEsol structure
# formation energy (no corrections) = -2.71 eV/atom
# DOS(E_F) = 0.140 states/eV/atom
# space group = No. 123
data_SrBeO2F
_chemical_formula_sum 'Sr1 Be1 O2 F1'
_cell_length_a 3.515
_cell_length_b 3.515
_cell_length_c 4.077
_cell_angle_alpha 90.00
_cell_angle_beta 90.00
_cell_angle_gamma 90.00
_symmetry_space_group_name_H-M 'P 1'
_symmetry_Int_Tables_number 1
loop_
_symmetry_equiv_pos_as_xyz
'x,y,z'
loop_
_atom_site_label
_atom_site_fract_x
_atom_site_fract_y
_atom_site_fract_z
_atom_site_occupancy
Sr1 0.500 0.500 0.500 1
O1 0.000 0.500 0.000 1
O2 0.500 0.000 0.000 1
Be1 0.000 0.000 0.000 1
F1 0.000 0.000 0.500 1